## RbAs2Pd4Pb (PBE)

Data for an optimized crystal structure of RbAs2Pd4Pb.

- Magnetic moment: 0.0000 μB/atom
- DOS(E_F): 4.2 states/eV/cell
- VASP energy: -0.3450 Ry per atom

Unit cell a=4.078 b=4.078 c=11.217 alpha=90.00 beta=90.00 gamma=90.00
Positions (direct):
Rb 0.000 0.000 0.000
As 0.500 0.500 0.193
As 0.500 0.500 0.807
Pd 0.000 0.500 0.318
Pd 0.000 0.500 0.682
Pd 0.500 0.000 0.318
Pd 0.500 0.000 0.682
Pb 0.000 0.000 0.500